A geometry-optimized ZnTeIN2 structure. Source: Alexandria via LeMat-Bulk, functional GGA-PBE.

Structure (POSCAR):
```
ZnTeIN2
1.0
4.007 0.000 0.000
0.000 4.007 0.000
0.000 0.000 7.369
Zn Te I N
1 1 1 2
direct
0.000 0.000 0.000
0.500 0.500 0.000
0.500 0.500 0.500
0.000 0.500 0.500
0.500 0.000 0.500
```

Values from the calculation:
* calculated density: 4.884 g/cm³
* V: 118 Å³ per cell
* total energy: -14.43 eV/cell
* spin magnetization: 0.0000 μB per atom

---

A geometry-optimized BaNa2Sb structure. Source: Alexandria via LeMat-Bulk, functional GGA-PBE.

Structure (POSCAR):
```
BaNa2Sb
1.0
-2.531 2.531 11.980
2.531 -2.531 11.980
2.531 2.531 -11.980
Ba Na Sb
2 4 2
direct
0.000 0.000 0.000
0.750 0.250 0.500
0.194 0.625 0.069
0.375 0.444 0.569
0.556 0.125 0.931
0.875 0.806 0.431
0.250 0.750 0.500
0.500 0.500 0.000
```

Values from the calculation:
* calculated density: 3.301 g/cm³
* V: 307 Å³ per cell
* total energy: -20.18 eV/cell
* spin magnetization: 0.0000 μB per atom

---

A geometry-optimized Ac4Pm4Pr3 structure. Source: Alexandria via LeMat-Bulk, functional GGA-PBE.

Structure (POSCAR):
```
Ac4Pm4Pr3
1.0
3.819 0.000 0.000
0.000 5.296 0.000
-1.899 -2.626 20.958
Ac Pm Pr
4 4 3
direct
0.047 0.048 0.093
0.318 0.317 0.635
0.682 0.683 0.365
0.953 0.952 0.907
0.229 0.229 0.457
0.407 0.406 0.815
0.593 0.594 0.185
0.771 0.771 0.543
0.136 0.136 0.272
0.500 0.500 0.000
0.864 0.864 0.728
```

Values from the calculation:
* formation energy from the elements: 0.021 eV per atom
* calculated density: 7.484 g/cm³
* V: 424 Å³ per cell
* total energy: -49.54 eV/cell
* spin magnetization: 0.0000 μB per atom

---

A geometry-optimized NaMo2C structure. Source: Alexandria via LeMat-Bulk, functional GGA-PBE.

Structure (POSCAR):
```
NaMo2C
1.0
-3.155 3.155 4.450
3.155 -3.155 4.450
3.155 3.155 -4.450
Na Mo C
2 4 2
direct
0.000 0.000 0.000
0.750 0.250 0.500
0.374 0.625 0.249
0.375 0.624 0.749
0.376 0.125 0.751
0.875 0.626 0.251
0.250 0.750 0.500
0.500 0.500 0.000
```

Values from the calculation:
* formation energy from the elements: 1.225 eV per atom
* calculated density: 4.253 g/cm³
* V: 177 Å³ per cell
* total energy: -54.61 eV/cell
* spin magnetization: 0.0000 μB per atom

---

A geometry-optimized Pm2Cd3Ir2 structure. Source: Alexandria via LeMat-Bulk, functional GGA-PBE.

Structure (POSCAR):
```
Pm2Cd3Ir2
1.0
5.161 -2.152 0.000
5.161 2.152 0.000
-1.143 0.000 7.222
Pm Cd Ir
2 3 2
direct
0.126 0.126 0.359
0.874 0.874 0.641
0.194 0.194 0.869
0.500 0.500 0.000
0.806 0.806 0.131
0.416 0.416 0.353
0.584 0.584 0.647
```

Values from the calculation:
* formation energy from the elements: -0.422 eV per atom
* calculated density: 10.472 g/cm³
* V: 160 Å³ per cell
* total energy: -32.92 eV/cell
* spin magnetization: 0.0000 μB per atom

---

A geometry-optimized CsIn2Co structure. Source: Alexandria via LeMat-Bulk, functional GGA-PBE.

Structure (POSCAR):
```
CsIn2Co
1.0
0.000 3.883 3.883
3.883 0.000 3.883
3.883 3.883 0.000
Cs In Co
1 2 1
direct
0.000 0.000 0.000
0.250 0.250 0.250
0.750 0.750 0.750
0.500 0.500 0.500
```

Values from the calculation:
* formation energy from the elements: 0.829 eV per atom
* calculated density: 5.977 g/cm³
* V: 117 Å³ per cell
* total energy: -10.12 eV/cell
* spin magnetization: 0.3993 μB per atom

---

A geometry-optimized CeDy2ScBi5 structure. Source: Alexandria via LeMat-Bulk, functional GGA-PBE.

Structure (POSCAR):
```
CeDy2ScBi5
1.0
5.609 0.000 0.000
0.000 5.609 0.000
0.000 0.000 11.443
Ce Dy Sc Bi
1 2 1 5
direct
0.000 0.000 0.000
0.500 0.500 0.218
0.500 0.500 0.782
0.000 0.000 0.500
0.000 0.000 0.262
0.000 0.000 0.738
0.000 0.500 0.000
0.500 0.000 0.000
0.500 0.500 0.500
```

Values from the calculation:
* formation energy from the elements: 0.123 eV per atom
* calculated density: 7.172 g/cm³
* V: 360 Å³ per cell
* total energy: -39.76 eV/cell
* spin magnetization: 0.0000 μB per atom

---

A geometry-optimized LiTl2SiPb structure. Source: Alexandria via LeMat-Bulk, functional GGA-PBE.

Structure (POSCAR):
```
LiTl2SiPb
1.0
5.355 0.000 0.000
0.000 5.355 0.000
0.000 0.000 5.688
Li Tl Si Pb
1 2 1 1
direct
0.000 0.000 0.000
0.000 0.500 0.500
0.500 0.000 0.500
0.500 0.500 0.500
0.500 0.500 0.000
```

Values from the calculation:
* calculated density: 6.627 g/cm³
* V: 163 Å³ per cell
* total energy: -14.03 eV/cell
* spin magnetization: 0.0000 μB per atom

---

A geometry-optimized YAlZnAu6 structure. Source: Alexandria via LeMat-Bulk, functional GGA-PBE.

Structure (POSCAR):
```
YAlZnAu6
1.0
-3.699 4.539 5.375
3.699 -4.539 5.375
3.699 4.539 -5.375
Y Al Zn Au
2 2 2 12
direct
0.464 0.214 0.250
0.536 0.786 0.750
0.000 0.000 0.000
0.500 0.000 0.500
0.000 0.000 0.500
0.000 0.500 0.000
0.148 0.429 0.322
0.148 0.827 0.720
0.164 0.914 0.250
0.225 0.475 0.750
0.393 0.173 0.822
0.393 0.571 0.220
0.607 0.429 0.780
0.607 0.827 0.178
0.775 0.525 0.250
0.836 0.086 0.750
0.852 0.173 0.280
0.852 0.571 0.678
```

Values from the calculation:
* formation energy from the elements: -0.317 eV per atom
* calculated density: 12.539 g/cm³
* V: 361 Å³ per cell
* total energy: -67.99 eV/cell
* spin magnetization: 0.0000 μB per atom

---

A geometry-optimized NbAu2I8 structure. Source: Alexandria via LeMat-Bulk, functional GGA-PBE.

Structure (POSCAR):
```
NbAu2I8
1.0
8.172 0.000 0.000
2.482 7.995 0.000
2.962 2.371 8.212
Nb Au I
1 2 8
direct
0.000 0.000 0.000
0.493 0.732 0.721
0.507 0.268 0.279
0.073 0.054 0.252
0.081 0.649 0.131
0.366 0.011 0.816
0.372 0.544 0.376
0.628 0.456 0.624
0.634 0.989 0.184
0.919 0.351 0.869
0.927 0.946 0.748
```

Values from the calculation:
* calculated density: 4.649 g/cm³
* V: 537 Å³ per cell
* total energy: -30.99 eV/cell
* spin magnetization: 0.0000 μB per atom

---

A geometry-optimized SmSbS2O structure. Source: Alexandria via LeMat-Bulk, functional GGA-PBE.

Structure (POSCAR):
```
SmSbS2O
1.0
3.927 0.000 0.000
0.000 3.927 0.000
0.000 0.000 13.987
Sm Sb S O
2 2 4 2
direct
0.250 0.250 0.086
0.750 0.750 0.914
0.250 0.250 0.636
0.750 0.750 0.364
0.250 0.250 0.385
0.250 0.250 0.810
0.750 0.750 0.190
0.750 0.750 0.615
0.250 0.750 0.000
0.750 0.250 0.000
```

Values from the calculation:
* calculated density: 5.424 g/cm³
* V: 216 Å³ per cell
* total energy: -60.77 eV/cell
* spin magnetization: 0.0000 μB per atom

---

A geometry-optimized Cs4KI4 structure. Source: Alexandria via LeMat-Bulk, functional GGA-PBE.

Structure (POSCAR):
```
Cs4KI4
1.0
10.802 0.000 0.000
0.000 10.802 0.000
0.000 0.000 10.125
Cs K I
8 2 8
direct
0.025 0.250 0.100
0.250 0.025 0.600
0.250 0.475 0.600
0.475 0.250 0.100
0.525 0.750 0.900
0.750 0.525 0.400
0.750 0.975 0.400
0.975 0.750 0.900
0.250 0.750 0.250
0.750 0.250 0.750
0.021 0.750 0.510
0.250 0.521 0.990
0.250 0.979 0.990
0.479 0.750 0.510
0.521 0.250 0.490
0.750 0.021 0.010
0.750 0.479 0.010
0.979 0.250 0.490
```

Values from the calculation:
* calculated density: 3.032 g/cm³
* V: 1181 Å³ per cell
* total energy: -44.53 eV/cell
* spin magnetization: 0.0000 μB per atom